Compound: MnCrHg2O
Source: Alexandria
Functional: PBE+U
Structure: relaxed

Cell and atoms, written as POSCAR:
```
MnCrHg2O
1.0
5.302 0.000 0.000
0.000 5.278 0.000
0.000 0.000 5.302
Cr Hg Mn O
1 2 1 1
Cartesian
0.000 0.000 0.000
0.000 0.000 2.651
2.651 0.000 0.000
0.000 2.639 0.000
2.651 2.639 2.651
```

Summary:
Calculated density: 5.86 Mg/m³
Total DFT energy (no corrections): -13.53 eV per formula unit
Density of states at the Fermi level: 0.49 states/eV per atom